1.
Nd4CdPt | GGA-PBEsol | relaxed

## Properties
Space group: F-43m, No. 216
Fermi-level density of states: 0.698 states/eV/atom
Total magnetic moment: 0.000 μB/cell
Energy: -127.94 eV per cell

a b c (Å): 9.831 9.831 9.831
angles (deg): 60.00 60.00 60.00
Fractional positions:
Nd 0.649 0.649 0.054
Nd 0.054 0.649 0.649
Nd 0.649 0.649 0.649
Nd 0.649 0.054 0.649
Nd 0.807 0.193 0.193
Nd 0.193 0.807 0.807
Nd 0.807 0.807 0.193
Nd 0.193 0.193 0.807
Nd 0.193 0.807 0.193
Nd 0.807 0.193 0.807
Nd 0.437 0.063 0.063
Nd 0.063 0.437 0.437
Nd 0.437 0.437 0.063
Nd 0.063 0.063 0.437
Nd 0.063 0.437 0.063
Nd 0.437 0.063 0.437
Cd 0.420 0.420 0.739
Cd 0.739 0.420 0.420
Cd 0.420 0.420 0.420
Cd 0.420 0.739 0.420
Pt 0.857 0.857 0.430
Pt 0.430 0.857 0.857
Pt 0.857 0.857 0.857
Pt 0.857 0.430 0.857

***

2.
Nd2CdRh2 | GGA-PBEsol | relaxed

## Properties
Space group: P4/mbm, No. 127
Fermi-level density of states: 0.719 states/eV/atom
Total magnetic moment: 0.000 μB/cell
Energy: -61.11 eV per cell

a b c (Å): 3.904 7.433 7.433
angles (deg): 90.00 90.00 90.00
Fractional positions:
Rh 0.000 0.367 0.867
Rh 0.000 0.133 0.367
Rh 0.000 0.867 0.633
Rh 0.000 0.633 0.133
Nd 0.500 0.670 0.830
Nd 0.500 0.830 0.330
Nd 0.500 0.170 0.670
Nd 0.500 0.330 0.170
Cd 0.000 0.000 0.000
Cd 0.000 0.500 0.500

***

3.
Nd6CdSi2S14 | GGA-PBEsol | relaxed

## Properties
Space group: P3, No. 143
Fermi-level density of states: 0.000 states/eV/atom
Total magnetic moment: 0.000 μB/cell
Formation energy (no corrections): -159 kJ/mol of atoms
Energy: -143.07 eV per cell

a b c (Å): 5.651 10.109 10.109
angles (deg): 120.00 90.00 90.00
Fractional positions:
Nd 0.229 0.234 0.358
Nd 0.229 0.642 0.876
Nd 0.229 0.124 0.766
Nd 0.734 0.766 0.642
Nd 0.734 0.358 0.125
Nd 0.734 0.875 0.234
Cd 0.475 0.000 0.000
Si 0.812 0.333 0.667
Si 0.320 0.667 0.333
S 0.715 0.168 0.258
S 0.715 0.742 0.910
S 0.715 0.090 0.832
S 0.224 0.830 0.743
S 0.224 0.257 0.087
S 0.224 0.913 0.170
S 0.441 0.333 0.667
S 0.948 0.667 0.333
S 0.960 0.111 0.522
S 0.960 0.478 0.589
S 0.960 0.411 0.889
S 0.465 0.889 0.478
S 0.465 0.522 0.411
S 0.465 0.589 0.111

***

4.
Nd2TlCd | GGA-PBEsol | relaxed

## Properties
Space group: Fm-3m, No. 225
Fermi-level density of states: 1.432 states/eV/atom
Total magnetic moment: 0.007 μB/cell
Energy: -15.75 eV per cell

a b c (Å): 5.387 5.387 5.387
angles (deg): 60.00 60.00 60.00
Fractional positions:
Tl 0.000 0.000 0.000
Nd 0.250 0.250 0.250
Nd 0.750 0.750 0.750
Cd 0.500 0.500 0.500

***

5.
NdZn2Cd | GGA-PBEsol | relaxed

## Properties
Space group: Fm-3m, No. 225
Fermi-level density of states: 0.319 states/eV/atom
Total magnetic moment: 0.000 μB/cell
Energy: -10.88 eV per cell

a b c (Å): 4.816 4.816 4.816
angles (deg): 60.00 60.00 60.00
Fractional positions:
Zn 0.250 0.250 0.250
Zn 0.750 0.750 0.750
Nd 0.000 0.000 0.000
Cd 0.500 0.500 0.500

***

6.
Cd5Ni | GGA-PBEsol | relaxed

## Properties
Space group: P4/mmm, No. 123
Fermi-level density of states: 0.319 states/eV/atom
Total magnetic moment: 0.000 μB/cell
Energy: -11.98 eV per cell

a b c (Å): 3.093 3.093 11.631
angles (deg): 90.00 90.00 90.00
Fractional positions:
Cd 0.000 0.000 0.632
Cd 0.500 0.500 0.816
Cd 0.000 0.000 0.000
Cd 0.500 0.500 0.184
Cd 0.000 0.000 0.368
Ni 0.500 0.500 0.500

***

7.
Cd6Ni7 | GGA-PBEsol | relaxed

## Properties
Space group: R-3m, No. 166
Fermi-level density of states: 1.032 states/eV/atom
Total magnetic moment: 0.002 μB/cell
Energy: -49.79 eV per cell

a b c (Å): 4.940 4.940 9.244
angles (deg): 74.50 74.50 60.00
Fractional positions:
Cd 0.948 0.948 0.156
Cd 0.052 0.052 0.844
Cd 0.845 0.845 0.466
Cd 0.155 0.155 0.534
Cd 0.666 0.666 0.001
Cd 0.334 0.334 0.999
Ni 0.409 0.409 0.274
Ni 0.908 0.409 0.274
Ni 0.409 0.908 0.274
Ni 0.591 0.591 0.726
Ni 0.591 0.092 0.726
Ni 0.092 0.591 0.726
Ni 0.500 0.500 0.500

***

8.
Cd7Ni | GGA-PBEsol | relaxed

## Properties
Space group: Fm-3m, No. 225
Fermi-level density of states: 0.419 states/eV/atom
Total magnetic moment: 0.000 μB/cell
Energy: -13.92 eV per cell

a b c (Å): 5.971 5.971 5.971
angles (deg): 60.00 60.00 60.00
Fractional positions:
Cd 0.500 0.000 0.000
Cd 0.500 0.500 0.000
Cd 0.000 0.500 0.000
Cd 0.500 0.000 0.500
Cd 0.000 0.000 0.500
Cd 0.000 0.500 0.500
Cd 0.500 0.500 0.500
Ni 0.000 0.000 0.000

***

9.
Cd5Ni | GGA-PBEsol | relaxed

## Properties
Space group: Amm2, No. 38
Fermi-level density of states: 0.442 states/eV/atom
Total magnetic moment: 0.000 μB/cell
Energy: -11.84 eV per cell

a b c (Å): 3.093 4.651 7.866
angles (deg): 90.00 101.34 90.00
Fractional positions:
Cd 0.004 0.000 0.008
Cd 0.334 0.000 0.668
Cd 0.658 0.000 0.316
Cd 0.462 0.500 0.924
Cd 0.763 0.500 0.527
Ni 0.112 0.500 0.224

***

10.
Cd2Ni | GGA-PBEsol | relaxed

## Properties
Space group: I4_1/amd, No. 141
Fermi-level density of states: 0.494 states/eV/atom
Total magnetic moment: 0.000 μB/cell
Energy: -16.73 eV per cell

a b c (Å): 2.906 2.906 12.309
angles (deg): 96.78 96.78 90.00
Fractional positions:
Cd 0.679 0.179 0.358
Cd 0.821 0.321 0.642
Cd 0.429 0.429 0.858
Cd 0.571 0.571 0.142
Ni 0.000 0.000 0.000
Ni 0.250 0.750 0.500

***

11.
CdNi2 | GGA-PBEsol | relaxed

## Properties
Space group: I4/mmm, No. 139
Fermi-level density of states: 1.487 states/eV/atom
Total magnetic moment: 0.255 μB/cell
Energy: -13.24 eV per cell

a b c (Å): 2.797 2.797 5.390
angles (deg): 105.04 105.04 90.00
Fractional positions:
Cd 0.000 0.000 0.000
Ni 0.316 0.316 0.633
Ni 0.684 0.684 0.367

***

12.
Cd3Ni2 | GGA-PBEsol | relaxed

## Properties
Space group: P-3m1, No. 164
Fermi-level density of states: 0.596 states/eV/atom
Total magnetic moment: 0.001 μB/cell
Energy: -15.59 eV per cell

a b c (Å): 4.318 4.318 5.240
angles (deg): 90.00 90.00 120.00
Fractional positions:
Ni 0.333 0.667 0.867
Ni 0.667 0.333 0.133
Cd 0.000 0.000 0.000
Cd 0.333 0.667 0.359
Cd 0.667 0.333 0.641

***

13.
Cd2Ni | GGA-PBEsol | relaxed

## Properties
Space group: Fd-3m, No. 227
Fermi-level density of states: 0.606 states/eV/atom
Total magnetic moment: 0.001 μB/cell
Energy: -68.08 eV per cell

a b c (Å): 8.257 8.257 8.257
angles (deg): 60.00 60.00 60.00
Fractional positions:
Cd 0.625 0.125 0.625
Cd 0.625 0.625 0.625
Cd 0.625 0.625 0.125
Cd 0.125 0.625 0.625
Cd 0.811 0.189 0.811
Cd 0.811 0.189 0.189
Cd 0.811 0.811 0.189
Cd 0.189 0.189 0.811
Cd 0.189 0.811 0.811
Cd 0.189 0.811 0.189
Cd 0.439 0.061 0.439
Cd 0.439 0.061 0.061
Cd 0.439 0.439 0.061
Cd 0.061 0.061 0.439
Cd 0.061 0.439 0.439
Cd 0.061 0.439 0.061
Ni 0.757 0.414 0.414
Ni 0.414 0.414 0.757
Ni 0.414 0.414 0.414
Ni 0.414 0.757 0.414
Ni 0.493 0.836 0.836
Ni 0.836 0.836 0.493
Ni 0.836 0.836 0.836
Ni 0.836 0.493 0.836

***

14.
Cd2Ni | GGA-PBEsol | relaxed

## Properties
Space group: C2/m, No. 12
Fermi-level density of states: 0.651 states/eV/atom
Total magnetic moment: 0.002 μB/cell
Energy: -16.80 eV per cell

a b c (Å): 2.928 5.070 7.381
angles (deg): 72.63 78.56 73.22
Fractional positions:
Cd 0.995 0.312 0.698
Cd 0.665 0.773 0.896
Cd 0.335 0.227 0.104
Cd 0.005 0.688 0.302
Ni 0.694 0.195 0.417
Ni 0.306 0.805 0.583

***

15.
Cd5Ni | GGA-PBEsol | relaxed

## Properties
Space group: P-62m, No. 189
Fermi-level density of states: 0.371 states/eV/atom
Total magnetic moment: 0.000 μB/cell
Energy: -11.88 eV per cell

a b c (Å): 4.660 5.206 5.206
angles (deg): 120.00 90.00 90.00
Fractional positions:
Cd 0.000 0.684 0.000
Cd 0.000 0.000 0.684
Cd 0.000 0.316 0.316
Cd 0.500 0.333 0.667
Cd 0.500 0.667 0.333
Ni 0.500 0.000 0.000

***

16.
Cd4Ni3 | GGA-PBEsol | relaxed

## Properties
Space group: I4/mmm, No. 139
Fermi-level density of states: 0.915 states/eV/atom
Total magnetic moment: 0.326 μB/cell
Energy: -22.90 eV per cell

a b c (Å): 2.963 2.963 12.555
angles (deg): 96.78 96.78 90.00
Fractional positions:
Cd 0.159 0.159 0.318
Cd 0.433 0.433 0.866
Cd 0.567 0.567 0.134
Cd 0.841 0.841 0.682
Ni 0.000 0.000 0.000
Ni 0.274 0.274 0.548
Ni 0.726 0.726 0.452

***

17.
Cd2Ni | GGA-PBEsol | relaxed

## Properties
Space group: I4/mmm, No. 139
Fermi-level density of states: 0.596 states/eV/atom
Total magnetic moment: 0.000 μB/cell
Energy: -8.47 eV per cell

a b c (Å): 2.999 2.999 5.879
angles (deg): 104.84 104.78 90.00
Fractional positions:
Ni 0.500 0.500 0.000
Cd 0.852 0.852 0.705
Cd 0.148 0.148 0.295

***

18.
Cd2Ni | GGA-PBEsol | relaxed

## Properties
Space group: Pnma, No. 62
Fermi-level density of states: 0.478 states/eV/atom
Total magnetic moment: 0.001 μB/cell
Energy: -33.66 eV per cell

a b c (Å): 4.344 5.497 8.182
angles (deg): 90.00 90.00 90.00
Fractional positions:
Cd 0.750 0.937 0.790
Cd 0.750 0.828 0.440
Cd 0.250 0.672 0.940
Cd 0.250 0.563 0.290
Cd 0.750 0.437 0.710
Cd 0.750 0.328 0.060
Cd 0.250 0.172 0.560
Cd 0.250 0.063 0.210
Ni 0.750 0.818 0.116
Ni 0.250 0.682 0.616
Ni 0.750 0.318 0.384
Ni 0.250 0.182 0.884

***

19.
Cd5Ni | GGA-PBEsol | relaxed

## Properties
Space group: Cmmm, No. 65
Fermi-level density of states: 0.329 states/eV/atom
Total magnetic moment: 0.000 μB/cell
Energy: -11.83 eV per cell

a b c (Å): 4.201 4.192 6.553
angles (deg): 90.00 108.69 90.00
Fractional positions:
Cd 0.658 0.500 0.316
Cd 0.841 0.000 0.682
Cd 0.000 0.500 0.000
Cd 0.159 0.000 0.318
Cd 0.342 0.500 0.684
Ni 0.500 0.000 0.000

***

20.
CdNi2O4 | GGA-PBEsol | relaxed

## Properties
Space group: I4_1/amd, No. 141
Fermi-level density of states: 0.677 states/eV/atom
Total magnetic moment: 3.892 μB/cell
Formation energy (no corrections): -81 kJ/mol of atoms
Energy: -80.77 eV per cell

a b c (Å): 5.896 6.005 5.896
angles (deg): 60.60 90.00 119.40
Fractional positions:
Cd 0.000 0.000 0.000
Cd 0.750 0.500 0.750
Ni 0.375 0.250 0.375
Ni 0.875 0.250 0.375
Ni 0.375 0.750 0.375
Ni 0.375 0.750 0.875
O 0.148 0.296 0.142
O 0.602 0.204 0.188
O 0.562 0.704 0.148
O 0.142 0.704 0.148
O 0.602 0.204 0.608
O 0.148 0.296 0.562
O 0.188 0.796 0.602
O 0.608 0.796 0.602

***

21.
CdNi3O | GGA-PBEsol | relaxed

## Properties
Space group: Pm-3m, No. 221
Fermi-level density of states: 2.375 states/eV/atom
Total magnetic moment: 2.657 μB/cell
Formation energy (no corrections): 194 kJ/mol of atoms
Energy: -14.86 eV per cell

a b c (Å): 4.601 4.601 4.601
angles (deg): 90.00 90.00 90.00
Fractional positions:
Ni 0.000 0.500 0.000
Ni 0.000 0.000 0.500
Ni 0.500 0.000 0.000
O 0.500 0.500 0.500
Cd 0.000 0.000 0.000

***

22.
CdNiOs2 | GGA-PBEsol | relaxed

## Properties
Space group: R-3m, No. 166
Fermi-level density of states: 1.080 states/eV/atom
Total magnetic moment: 0.001 μB/cell
Energy: -30.02 eV per cell

a b c (Å): 2.725 2.725 8.995
angles (deg): 81.29 81.29 60.00
Fractional positions:
Cd 0.500 0.500 0.500
Ni 0.000 0.000 0.000
Os 0.259 0.259 0.224
Os 0.741 0.741 0.776

***

23.
CdNiOs2 | GGA-PBEsol | relaxed

## Properties
Space group: P2/m, No. 10
Fermi-level density of states: 0.938 states/eV/atom
Total magnetic moment: 0.000 μB/cell
Energy: -29.80 eV per cell

a b c (Å): 2.727 4.612 4.779
angles (deg): 108.49 90.00 90.00
Fractional positions:
Cd 0.500 0.000 0.500
Ni 0.000 0.500 0.500
Os 0.000 0.000 0.000
Os 0.500 0.500 0.000

***

24.
Cd2NiOs | GGA-PBEsol | relaxed

## Properties
Space group: I-4m2, No. 119
Fermi-level density of states: 1.259 states/eV/atom
Total magnetic moment: 1.080 μB/cell
Energy: -18.46 eV per cell

a b c (Å): 4.035 4.035 4.762
angles (deg): 115.07 115.07 90.00
Fractional positions:
Cd 0.000 0.000 0.000
Cd 0.750 0.250 0.500
Ni 0.500 0.500 0.000
Os 0.250 0.750 0.500